Record 1
TlHg2W PBE optimized geometry; crystal system = monoclinic; symmetry = C2/m; polymorph energy (0 for the lowest one) = 0.112 eV/atom; energy of formation = 777 meV per atom
1.0
2.9766 -4.5609 0.0000
2.9766 4.5609 0.0000
-0.0177 0.0000 3.0628
Tl Hg W
1 2 1
direct
0.0000 0.0000 0.0000
0.0000 0.5000 0.5000
0.5000 0.0000 0.5000
0.5000 0.5000 0.0000

=====

Record 2
TlHgW PBE optimized geometry; crystal system = trigonal; symmetry = P3m1; polymorph energy (0 for the lowest one) = 0.000 eV/atom; energy of formation = 871 meV per atom
1.0
3.0562 0.0000 0.0000
-1.5281 2.6467 0.0000
0.0000 0.0000 7.7621
Tl Hg W
1 1 1
direct
0.0000 0.0000 0.0000
0.3333 0.6667 0.6320
0.6667 0.3333 0.3251

=====

Record 3
TlHg2W PBE optimized geometry; crystal system = tetragonal; symmetry = I4/mmm; polymorph energy (0 for the lowest one) = 0.289 eV/atom; energy of formation = 955 meV per atom
1.0
-2.0532 2.0532 5.0104
2.0532 -2.0532 5.0104
2.0532 2.0532 -5.0104
Tl Hg W
1 2 1
direct
0.0000 0.0000 0.0000
0.2500 0.7500 0.5000
0.7500 0.2500 0.5000
0.5000 0.5000 0.0000

=====

Record 4
TlHg2W PBE optimized geometry; crystal system = orthorhombic; symmetry = Immm; polymorph energy (0 for the lowest one) = 0.058 eV/atom; energy of formation = 724 meV per atom
1.0
-1.4709 2.4748 6.5407
1.4709 -2.4748 6.5407
1.4709 2.4748 -6.5407
Tl Hg W
1 2 1
direct
0.0000 0.0000 0.0000
0.3086 0.8086 0.5000
0.6914 0.1914 0.5000
0.5000 0.5000 0.0000

=====

Record 5
TlHgW PBE optimized geometry; crystal system = tetragonal; symmetry = I4mm; polymorph energy (0 for the lowest one) = 0.077 eV/atom; energy of formation = 948 meV per atom
1.0
-1.4618 1.4618 7.6804
1.4618 -1.4618 7.6804
1.4618 1.4618 -7.6804
Tl Hg W
1 1 1
direct
0.0000 0.0000 0.0000
0.6989 0.6989 0.0000
0.3394 0.3394 0.0000

=====

Record 6
YTlHg PBE optimized geometry; crystal system = tetragonal; symmetry = P4/nmm; polymorph energy (0 for the lowest one) = 0.078 eV/atom; energy of formation = -278 meV per atom
1.0
4.5692 0.0000 0.0000
0.0000 4.5692 0.0000
0.0000 0.0000 7.7739
Y Tl Hg
2 2 2
direct
0.2500 0.2500 0.1795
0.7500 0.7500 0.8205
0.2500 0.7500 0.5000
0.7500 0.2500 0.5000
0.2500 0.2500 0.7950
0.7500 0.7500 0.2050

=====

Record 7
YTlHg PBE optimized geometry; crystal system = triclinic; symmetry = P-1; polymorph energy (0 for the lowest one) = 0.041 eV/atom; energy of formation = -315 meV per atom
1.0
4.7607 0.0000 0.0000
-0.0450 6.4826 0.0000
-2.3705 -3.1691 5.1477
Y Tl Hg
2 2 2
direct
0.1772 0.2337 0.3584
0.8228 0.7663 0.6416
0.4950 0.2427 0.9952
0.5050 0.7573 0.0048
0.1516 0.7103 0.2995
0.8484 0.2897 0.7005

=====

Record 8
Y5Tl4Hg PBE optimized geometry; crystal system = tetragonal; symmetry = P4/mmm; energy of formation = -404 meV per atom
1.0
3.7552 0.0000 0.0000
0.0000 3.7552 0.0000
0.0000 0.0000 19.2447
Y Tl Hg
5 4 1
direct
0.0000 0.0000 0.0000
0.0000 0.0000 0.2028
0.0000 0.0000 0.4055
0.0000 0.0000 0.5945
0.0000 0.0000 0.7972
0.5000 0.5000 0.1012
0.5000 0.5000 0.3046
0.5000 0.5000 0.6954
0.5000 0.5000 0.8988
0.5000 0.5000 0.5000

=====

Record 9
YTlHg PBE optimized geometry; crystal system = trigonal; symmetry = P-3m1; polymorph energy (0 for the lowest one) = 0.032 eV/atom; energy of formation = -324 meV per atom
1.0
4.9028 0.0000 0.0000
-2.4514 4.2459 0.0000
0.0000 0.0000 7.6106
Y Tl Hg
2 2 2
direct
0.0000 0.0000 0.2330
0.0000 0.0000 0.7670
0.3333 0.6667 0.5664
0.6667 0.3333 0.4336
0.3333 0.6667 0.9809
0.6667 0.3333 0.0191

=====

Record 10
YTlHg PBE optimized geometry; crystal system = orthorhombic; symmetry = Imm2; polymorph energy (0 for the lowest one) = 0.157 eV/atom; energy of formation = -199 meV per atom
1.0
-1.8455 2.3047 4.7383
1.8455 -2.3047 4.7383
1.8455 2.3047 -4.7383
Y Tl Hg
1 1 1
direct
0.0000 0.0000 0.0000
0.3346 0.3346 0.0000
0.6646 0.6646 0.0000

=====

Record 11
Y2TlHg8 PBE optimized geometry; crystal system = orthorhombic; symmetry = Immm; energy of formation = -197 meV per atom
1.0
-2.4942 3.5015 8.1254
2.4942 -3.5015 8.1254
2.4942 3.5015 -8.1254
Y Tl Hg
2 1 8
direct
0.1982 0.1982 0.0000
0.8018 0.8018 0.0000
0.5000 0.5000 0.0000
0.0819 0.3562 0.7257
0.2072 0.0000 0.2072
0.3309 0.8309 0.5000
0.3696 0.6438 0.7257
0.6304 0.3562 0.2743
0.6691 0.1691 0.5000
0.7928 0.0000 0.7928
0.9181 0.6438 0.2743

=====

Record 12
Y3Tl2Hg2 PBE optimized geometry; crystal system = triclinic; symmetry = P-1; energy of formation = -334 meV per atom
1.0
5.0926 0.0000 0.0000
2.5405 4.6173 0.0000
0.0195 2.0493 8.4872
Y Tl Hg
3 2 2
direct
0.0000 0.0000 0.0000
0.2766 0.4476 0.7027
0.7234 0.5524 0.2973
0.3626 0.2739 0.1454
0.6374 0.7261 0.8546
0.0665 0.8660 0.3628
0.9335 0.1340 0.6372

=====

- The highest energy of formation belongs to which entry?
  number 3

=====

- energy of formation of number 5 (TlHgW)?
  948 meV per atom

=====

- Among the records above, which one has the highest energy of formation?
  number 3

=====

What did the first record say?
TlHg2W PBE optimized geometry; crystal system = monoclinic; symmetry = C2/m; polymorph energy (0 for the lowest one) = 0.112 eV/atom; energy of formation = 777 meV per atom
1.0
2.9766 -4.5609 0.0000
2.9766 4.5609 0.0000
-0.0177 0.0000 3.0628
Tl Hg W
1 2 1
direct
0.0000 0.0000 0.0000
0.0000 0.5000 0.5000
0.5000 0.0000 0.5000
0.5000 0.5000 0.0000